(1)
Entry from Alexandria: Eu2ZnRu after structural relaxation (PBE).

It has space group P4/mmm (No. 123), with a = 3.5208 Å, b = 3.5208 Å, c = 7.6024 Å, α = 90.00°, β = 90.00° and γ = 90.00°. The inequivalent atoms are Eu at (0.0000, 0.0000, 0.2252), Zn at (0.5000, 0.5000, 0.5000) and Ru at (0.5000, 0.5000, 0.0000).

For the volume, the calculation gives 23.56 Å³ per atom. Its electronic total energy is -7.78 eV/atom. The value obtained for the energy of formation from the pure elements is -4.0 kJ/mol of formula units. As for the total magnetic moment: 13.7 μB per formula unit.

***

(2)
Entry from Alexandria: Ho2LuTh after structural relaxation (PBE).

It has space group R-3m (No. 166, hexagonal axes), with a = 3.5427 Å, b = 3.5427 Å, c = 34.2947 Å, α = 90.00°, β = 90.00° and γ = 120.00°. The inequivalent atoms are Ho at (0.0000, 0.0000, 0.2504), Lu at (0.0000, 0.0000, 0.5000) and Th at (0.0000, 0.0000, 0.0000).

For the volume, the calculation gives 31.06 Å³ per atom. Its electronic total energy is -5.24 eV/atom. Its distance to the lowest polymorph of the same formula is 0 meV per atom. The value obtained for the energy of formation from the pure elements is 11.5 kJ/mol of formula units. As for the total magnetic moment: 0.0 μB per formula unit.

***

(3)
Entry from Alexandria: Tm4SiPb after structural relaxation (PBE).

It has space group P2_1/m (No. 11), with a = 5.7662 Å, b = 8.4975 Å, c = 7.4785 Å, α = 90.00°, β = 102.52° and γ = 90.00°. The inequivalent atoms are Tm at (0.0279, 0.0569, 0.2284), Tm at (0.3622, 0.7500, 0.5162), Tm at (0.4719, 0.2500, 0.9884), Si at (0.0625, 0.7500, 0.0899) and Pb at (0.1787, 0.2500, 0.5929).

As for the uncorrected formation energy: -0.161 eV/atom. For the volume, the calculation gives 29.81 Å³ per atom. Its electronic total energy is -4.66 eV/atom. Its distance to the lowest polymorph of the same formula is 291 meV per atom. As for the total magnetic moment: 0.0 μB per formula unit.

***

(4)
Entry from Alexandria: CaDy5Rh6 after structural relaxation (PBE).

It has space group C2/m (No. 12), with a = 8.3898 Å, b = 14.4751 Å, c = 4.8350 Å, α = 90.00°, β = 125.06° and γ = 90.00°. The inequivalent atoms are Ca at (0.0000, 0.0000, 0.0000), Dy at (0.0000, 0.1624, 0.5000), Dy at (0.0000, 0.3317, 0.0000), Dy at (0.0000, 0.5000, 0.5000), Rh at (0.2384, 0.5000, 0.2383) and Rh at (0.2443, 0.3299, 0.7441).

For the volume, the calculation gives 20.03 Å³ per atom. Its electronic total energy is -6.57 eV/atom. The value obtained for the energy of formation from the pure elements is -937.4 kJ/mol of formula units. As for the total magnetic moment: 0.0 μB per formula unit.

***

(5)
Entry from Alexandria: KMo2Au after structural relaxation (PBE).

It has space group I-42d (No. 122), with a = 4.3461 Å, b = 4.3461 Å, c = 20.8967 Å, α = 90.00°, β = 90.00° and γ = 90.00°. The inequivalent atoms are K at (0.0000, 0.0000, 0.0000), Mo at (0.0977, 0.2500, 0.6250) and Au at (0.0000, 0.0000, 0.5000).

For the volume, the calculation gives 24.67 Å³ per atom. Its electronic total energy is -5.28 eV/atom. Its distance to the lowest polymorph of the same formula is 720 meV per atom. The value obtained for the energy of formation from the pure elements is 474.3 kJ/mol of formula units. As for the total magnetic moment: 0.0 μB per formula unit.

***

(6)
Entry from Alexandria: YVC3 after structural relaxation (PBE).

It has space group Pm-3m (No. 221), with a = 3.9252 Å, b = 3.9252 Å, c = 3.9252 Å, α = 90.00°, β = 90.00° and γ = 90.00°. The inequivalent atoms are Y at (0.0000, 0.0000, 0.0000), V at (0.5000, 0.5000, 0.5000) and C at (0.0000, 0.5000, 0.5000).

For the volume, the calculation gives 12.10 Å³ per atom. Its electronic total energy is -8.00 eV/atom. Its distance to the lowest polymorph of the same formula is 0 meV per atom. The value obtained for the energy of formation from the pure elements is 315.6 kJ/mol of formula units. As for the total magnetic moment: 0.0 μB per formula unit.

***

(7)
Entry from Alexandria: Np2BeGaAu6 after structural relaxation (PBE).

It has space group P-1 (No. 2), with a = 6.1867 Å, b = 6.1883 Å, c = 7.0683 Å, α = 92.28°, β = 115.10° and γ = 117.39°. The inequivalent atoms are Np at (0.0485, 0.3127, 0.3652), Be at (0.5000, 0.5000, 0.0000), Ga at (0.5000, 0.0000, 0.5000), Au at (0.0230, 0.2428, 0.8025), Au at (0.4176, 0.2515, 0.2216) and Au at (0.4410, 0.7942, 0.1332).

For the volume, the calculation gives 20.81 Å³ per atom. Its electronic total energy is -5.29 eV/atom. The value obtained for the energy of formation from the pure elements is -55.4 kJ/mol of formula units. As for the total magnetic moment: 8.9 μB per formula unit.

***

(8)
Entry from Alexandria: YZn3Co after structural relaxation (PBE).

It has space group Pm-3m (No. 221), with a = 4.5388 Å, b = 4.5388 Å, c = 4.5388 Å, α = 90.00°, β = 90.00° and γ = 90.00°. The inequivalent atoms are Y at (0.0000, 0.0000, 0.0000), Zn at (0.0000, 0.5000, 0.5000) and Co at (0.5000, 0.5000, 0.5000).

For the volume, the calculation gives 18.70 Å³ per atom. Its electronic total energy is -3.55 eV/atom. Its distance to the lowest polymorph of the same formula is 0 meV per atom. The value obtained for the energy of formation from the pure elements is -34.8 kJ/mol of formula units. As for the total magnetic moment: 0.3 μB per formula unit.

***

(9)
Entry from Alexandria: Th3GaP2Ir9 after structural relaxation (PBE).

It has space group P-3m1 (No. 164), with a = 5.7143 Å, b = 5.7143 Å, c = 10.2745 Å, α = 90.00°, β = 90.00° and γ = 120.00°. The inequivalent atoms are Th at (0.0000, 0.0000, 0.0000), Th at (0.3333, 0.6667, 0.5955), Ga at (0.0000, 0.0000, 0.5000), P at (0.3333, 0.6667, 0.1604), Ir at (0.0000, 0.5000, 0.0000) and Ir at (0.1616, 0.3233, 0.3087).

For the volume, the calculation gives 19.37 Å³ per atom. Its electronic total energy is -8.29 eV/atom. The value obtained for the energy of formation from the pure elements is -818.7 kJ/mol of formula units. As for the total magnetic moment: 0.0 μB per formula unit.

***

(10)
Entry from Alexandria: CaLaMoPd2 after structural relaxation (PBE).

It has space group P4/mmm (No. 123), with a = 5.0065 Å, b = 5.0065 Å, c = 4.9611 Å, α = 90.00°, β = 90.00° and γ = 90.00°. The inequivalent atoms are Ca at (0.0000, 0.0000, 0.0000), La at (0.5000, 0.5000, 0.0000), Mo at (0.0000, 0.0000, 0.5000) and Pd at (0.0000, 0.5000, 0.5000).

For the volume, the calculation gives 24.87 Å³ per atom. Its electronic total energy is -5.21 eV/atom. Its distance to the lowest polymorph of the same formula is 0 meV per atom. The value obtained for the energy of formation from the pure elements is 203.6 kJ/mol of formula units. As for the total magnetic moment: 0.0 μB per formula unit.

***

(11)
Entry from Alexandria: LiHoInSn after structural relaxation (PBE).

It has space group Pmmm (No. 47), with a = 4.4060 Å, b = 4.5111 Å, c = 4.6667 Å, α = 90.00°, β = 90.00° and γ = 90.00°. The inequivalent atoms are Li at (0.0000, 0.0000, 0.0000), Ho at (0.0000, 0.5000, 0.5000), In at (0.5000, 0.5000, 0.0000) and Sn at (0.5000, 0.0000, 0.5000).

For the volume, the calculation gives 23.19 Å³ per atom. Its electronic total energy is -3.80 eV/atom. Its distance to the lowest polymorph of the same formula is 0 meV per atom. The value obtained for the energy of formation from the pure elements is -190.6 kJ/mol of formula units. As for the total magnetic moment: 0.0 μB per formula unit.

***

(12)
Entry from Alexandria: Ho3ScSn2C after structural relaxation (PBE).

It has space group Immm (No. 71), with a = 4.5562 Å, b = 4.7428 Å, c = 15.8233 Å, α = 90.00°, β = 90.00° and γ = 90.00°. The inequivalent atoms are Ho at (0.0000, 0.0000, 0.0000), Ho at (0.0000, 0.5000, 0.1581), Sc at (0.0000, 0.0000, 0.5000), Sn at (0.0000, 0.5000, 0.3604) and C at (0.0000, 0.5000, 0.0000).

For the volume, the calculation gives 24.42 Å³ per atom. Its electronic total energy is -6.06 eV/atom. The value obtained for the energy of formation from the pure elements is -493.8 kJ/mol of formula units. As for the total magnetic moment: 0.0 μB per formula unit.

***

(13)
Entry from Alexandria: Na3NdTl2O6 after structural relaxation (PBE).

It has space group C2/m (No. 12), with a = 5.9632 Å, b = 10.3582 Å, c = 6.0103 Å, α = 90.00°, β = 108.98° and γ = 90.00°. The inequivalent atoms are Na at (0.0000, 0.0000, 0.0000), Na at (0.0000, 0.3236, 0.0000), Nd at (0.0000, 0.5000, 0.5000), Tl at (0.0000, 0.1660, 0.5000), O at (0.2345, 0.0000, 0.7286) and O at (0.2449, 0.3299, 0.7257).

As for the uncorrected formation energy: -1.564 eV/atom. For the volume, the calculation gives 14.63 Å³ per atom. Its electronic total energy is -5.16 eV/atom. As for the total magnetic moment: 0.0 μB per formula unit.

***

(14)
Entry from Alexandria: Mn2AsPt after structural relaxation (PBE).

It has space group I-42d (No. 122), with a = 6.8991 Å, b = 6.8991 Å, c = 5.2543 Å, α = 90.00°, β = 90.00° and γ = 90.00°. The inequivalent atoms are Mn at (0.2330, 0.2500, 0.1250), As at (0.0000, 0.0000, 0.0000) and Pt at (0.0000, 0.0000, 0.5000).

For the volume, the calculation gives 15.63 Å³ per atom. Its electronic total energy is -7.20 eV/atom. Its distance to the lowest polymorph of the same formula is 204 meV per atom. The value obtained for the energy of formation from the pure elements is 20.5 kJ/mol of formula units. As for the total magnetic moment: 6.3 μB per formula unit.

***

(15)
Entry from Alexandria: YHf2Sb2 after structural relaxation (PBE).

It has space group I4/mmm (No. 139), with a = 4.2565 Å, b = 4.2565 Å, c = 13.9033 Å, α = 90.00°, β = 90.00° and γ = 90.00°. The inequivalent atoms are Y at (0.0000, 0.0000, 0.0000), Hf at (0.0000, 0.5000, 0.2500) and Sb at (0.0000, 0.0000, 0.3933).

As for the uncorrected formation energy: -0.476 eV/atom. For the volume, the calculation gives 25.19 Å³ per atom. Its electronic total energy is -7.40 eV/atom. Its distance to the lowest polymorph of the same formula is 74 meV per atom. As for the total magnetic moment: 0.0 μB per formula unit.

***

(16)
Entry from Alexandria: PrSm3Pd after structural relaxation (PBE).

It has space group P6_3/mmc (No. 194), with a = 7.8221 Å, b = 7.8221 Å, c = 6.0484 Å, α = 90.00°, β = 90.00° and γ = 120.00°. The inequivalent atoms are Pr at (0.3333, 0.6667, 0.2500), Sm at (0.1825, 0.3651, 0.7500) and Pd at (0.0000, 0.0000, 0.0000).

For the volume, the calculation gives 32.05 Å³ per atom. Its electronic total energy is -5.02 eV/atom. Its distance to the lowest polymorph of the same formula is 114 meV per atom. The value obtained for the energy of formation from the pure elements is -94.9 kJ/mol of formula units. As for the total magnetic moment: 0.0 μB per formula unit.

***

(17)
Entry from Alexandria: Rb2LaZn2 after structural relaxation (PBE).

It has space group I4/mmm (No. 139), with a = 4.7933 Å, b = 4.7933 Å, c = 15.9977 Å, α = 90.00°, β = 90.00° and γ = 90.00°. The inequivalent atoms are Rb at (0.0000, 0.5000, 0.2500), La at (0.0000, 0.0000, 0.0000) and Zn at (0.0000, 0.0000, 0.4229).

For the volume, the calculation gives 36.76 Å³ per atom. Its electronic total energy is -1.52 eV/atom. Its distance to the lowest polymorph of the same formula is 120 meV per atom. The value obtained for the energy of formation from the pure elements is 173.2 kJ/mol of formula units. As for the total magnetic moment: 0.9 μB per formula unit.

***

(18)
Entry from Alexandria: Tm6In3Te after structural relaxation (PBE).

It has space group Cmc2_1 (No. 36), with a = 11.0716 Å, b = 13.9599 Å, c = 7.4987 Å, α = 90.00°, β = 90.00° and γ = 90.00°. The inequivalent atoms are Tm at (0.0000, 0.0170, 0.0000), Tm at (0.0000, 0.2939, 0.0691), Tm at (0.1685, 0.3053, 0.5223), Tm at (0.2289, 0.4483, 0.1499), In at (0.0000, 0.4861, 0.3988), In at (0.1448, 0.1325, 0.2849) and Te at (0.0000, 0.1715, 0.7310).

As for the uncorrected formation energy: -0.328 eV/atom. For the volume, the calculation gives 28.97 Å³ per atom. Its electronic total energy is -4.15 eV/atom. As for the total magnetic moment: 0.0 μB per formula unit.

***

(19)
Entry from Alexandria: Cs2RbNaGa after structural relaxation (PBE).

It has space group P4/mmm (No. 123), with a = 7.4010 Å, b = 7.4010 Å, c = 6.2316 Å, α = 90.00°, β = 90.00° and γ = 90.00°. The inequivalent atoms are Cs at (0.0000, 0.5000, 0.0000), Rb at (0.0000, 0.0000, 0.5000), Na at (0.5000, 0.5000, 0.5000) and Ga at (0.5000, 0.5000, 0.0000).

For the volume, the calculation gives 68.27 Å³ per atom. Its electronic total energy is -1.27 eV/atom. The value obtained for the energy of formation from the pure elements is 65.9 kJ/mol of formula units. As for the total magnetic moment: 0.0 μB per formula unit.

***

(20)
Entry from Alexandria: KBeSb2Te after structural relaxation (PBE).

It has space group P4/mmm (No. 123), with a = 5.0112 Å, b = 5.0112 Å, c = 5.6587 Å, α = 90.00°, β = 90.00° and γ = 90.00°. The inequivalent atoms are K at (0.0000, 0.0000, 0.0000), Be at (0.5000, 0.5000, 0.5000), Sb at (0.0000, 0.5000, 0.5000) and Te at (0.5000, 0.5000, 0.0000).

As for the uncorrected formation energy: 0.103 eV/atom. For the volume, the calculation gives 28.42 Å³ per atom. Its electronic total energy is -3.14 eV/atom. Its distance to the lowest polymorph of the same formula is 0 meV per atom. As for the total magnetic moment: 0.0 μB per formula unit.